w) {
  "formula": "NaMg12Pb6",
  "functional": "PBE",
  "state": "optimized geometry",
  "cell": [[6.940, 4.007, 3.194], [-6.940, 4.007, 3.194], [0.000, -8.014, 3.194]],
  "species": ["Na", "Mg", "Mg", "Mg", "Mg", "Mg", "Mg", "Mg", "Mg", "Mg", "Mg", "Mg", "Mg", "Pb", "Pb", "Pb", "Pb", "Pb", "Pb"],
  "fractional_positions": [[0.000, 0.000, 0.000], [0.111, 0.500, 0.889], [0.111, 0.889, 0.500], [0.168, 0.397, 0.397], [0.397, 0.168, 0.397], [0.397, 0.397, 0.168], [0.500, 0.111, 0.889], [0.500, 0.889, 0.111], [0.603, 0.603, 0.832], [0.603, 0.832, 0.603], [0.832, 0.603, 0.603], [0.889, 0.111, 0.500], [0.889, 0.500, 0.111], [0.260, 0.721, 0.721], [0.279, 0.279, 0.740], [0.279, 0.740, 0.279], [0.721, 0.260, 0.721], [0.721, 0.721, 0.260], [0.740, 0.279, 0.279]],
  "sg": "R-3m",
  "magmom_total_mub_per_cell": 0.00
}


x) {
  "formula": "NaMg12Pb6",
  "functional": "PBE",
  "state": "optimized geometry",
  "cell": [[5.409, 3.123, 5.033], [-5.409, 3.123, 5.033], [0.000, -6.246, 5.033]],
  "species": ["Na", "Mg", "Mg", "Mg", "Mg", "Mg", "Mg", "Mg", "Mg", "Mg", "Mg", "Mg", "Mg", "Pb", "Pb", "Pb", "Pb", "Pb", "Pb"],
  "fractional_positions": [[0.000, 0.000, 0.000], [0.073, 0.229, 0.404], [0.229, 0.404, 0.073], [0.246, 0.584, 0.419], [0.404, 0.073, 0.229], [0.416, 0.581, 0.754], [0.419, 0.246, 0.584], [0.581, 0.754, 0.416], [0.584, 0.419, 0.246], [0.596, 0.927, 0.771], [0.754, 0.416, 0.581], [0.771, 0.596, 0.927], [0.927, 0.771, 0.596], [0.077, 0.389, 0.748], [0.252, 0.923, 0.611], [0.389, 0.748, 0.077], [0.611, 0.252, 0.923], [0.748, 0.077, 0.389], [0.923, 0.611, 0.252]],
  "sg": "R-3",
  "magmom_total_mub_per_cell": 0.00
}


Verdict on stability: w) comes out at the bottom.


w) {
  "formula": "Na2MgPb8",
  "functional": "PBE",
  "state": "optimized geometry",
  "cell": [[4.938, 0.000, 0.000], [0.000, 4.938, 0.000], [0.000, 0.000, 13.568]],
  "species": ["Na", "Na", "Mg", "Pb", "Pb", "Pb", "Pb", "Pb", "Pb", "Pb", "Pb"],
  "fractional_positions": [[0.000, 0.000, 0.181], [0.000, 0.000, 0.819], [0.000, 0.000, 0.500], [0.000, 0.500, 0.000], [0.000, 0.500, 0.361], [0.000, 0.500, 0.639], [0.500, 0.000, 0.000], [0.500, 0.000, 0.361], [0.500, 0.000, 0.639], [0.500, 0.500, 0.183], [0.500, 0.500, 0.817]],
  "sg": "P4/mmm",
  "magmom_total_mub_per_cell": 0.00
}


x) {
  "formula": "Na2MgPb8",
  "functional": "PBE",
  "state": "optimized geometry",
  "cell": [[7.083, -4.141, 0.000], [7.083, 4.141, 0.000], [-1.222, 0.000, 6.033]],
  "species": ["Na", "Na", "Mg", "Pb", "Pb", "Pb", "Pb", "Pb", "Pb", "Pb", "Pb"],
  "fractional_positions": [[0.130, 0.130, 0.494], [0.870, 0.870, 0.506], [0.000, 0.000, 0.000], [0.234, 0.641, 0.218], [0.236, 0.236, 0.056], [0.359, 0.766, 0.782], [0.361, 0.361, 0.653], [0.639, 0.639, 0.347], [0.641, 0.234, 0.218], [0.764, 0.764, 0.944], [0.766, 0.359, 0.782]],
  "sg": "C2/m",
  "magmom_total_mub_per_cell": 0.00
}


Verdict on stability: x) comes out at the bottom.


w) {
  "formula": "NaMg3Pb3",
  "functional": "PBE",
  "state": "optimized geometry",
  "cell": [[8.135, 0.000, 0.000], [0.000, 8.135, 0.000], [0.000, 0.000, 8.135]],
  "species": ["Na", "Na", "Mg", "Mg", "Mg", "Mg", "Mg", "Mg", "Pb", "Pb", "Pb", "Pb", "Pb", "Pb"],
  "fractional_positions": [[0.000, 0.000, 0.000], [0.500, 0.500, 0.500], [0.000, 0.250, 0.500], [0.000, 0.750, 0.500], [0.250, 0.500, 0.000], [0.500, 0.000, 0.250], [0.500, 0.000, 0.750], [0.750, 0.500, 0.000], [0.000, 0.500, 0.250], [0.000, 0.500, 0.750], [0.250, 0.000, 0.500], [0.500, 0.250, 0.000], [0.500, 0.750, 0.000], [0.750, 0.000, 0.500]],
  "sg": "Pm-3n",
  "magmom_total_mub_per_cell": 0.00
}


x) {
  "formula": "NaMg3Pb3",
  "functional": "PBE",
  "state": "optimized geometry",
  "cell": [[5.019, -5.346, 0.000], [5.019, 5.346, 0.000], [0.000, 0.000, 7.294]],
  "species": ["Na", "Na", "Mg", "Mg", "Mg", "Mg", "Mg", "Mg", "Pb", "Pb", "Pb", "Pb", "Pb", "Pb"],
  "fractional_positions": [[0.195, 0.195, 0.000], [0.805, 0.805, 0.000], [0.194, 0.806, 0.500], [0.233, 0.233, 0.500], [0.269, 0.731, 0.000], [0.731, 0.269, 0.000], [0.767, 0.767, 0.500], [0.806, 0.194, 0.500], [0.000, 0.500, 0.252], [0.000, 0.500, 0.748], [0.500, 0.000, 0.252], [0.500, 0.000, 0.748], [0.500, 0.500, 0.265], [0.500, 0.500, 0.735]],
  "sg": "Cmmm",
  "magmom_total_mub_per_cell": 0.00
}


Verdict on stability: w) comes out at the bottom.